A) {"formula": "ScTi2NbH", "functional": "PBE", "state": "optimized geometry", "sg": "P4/mmm (123)", "magnetic_moment_mub_per_fu": 0.002, "lattice_angstrom": [[4.3564, 0.0000, 0.0000], [0.0000, 4.3564, 0.0000], [0.0000, 0.0000, 4.0525]], "species": ["Sc", "Ti", "Ti", "Nb", "H"], "fractional_positions": [[0.0000, 0.0000, 0.0000], [0.0000, 0.5000, 0.5000], [0.5000, 0.0000, 0.5000], [0.5000, 0.5000, 0.0000], [0.5000, 0.5000, 0.5000]]}

B) {"formula": "ScTi2NbH", "functional": "PBE", "state": "optimized geometry", "sg": "P4/mmm (123)", "magnetic_moment_mub_per_fu": 0.001, "lattice_angstrom": [[4.1735, 0.0000, 0.0000], [0.0000, 4.1735, 0.0000], [0.0000, 0.0000, 4.3737]], "species": ["Sc", "Ti", "Ti", "Nb", "H"], "fractional_positions": [[0.0000, 0.0000, 0.0000], [0.0000, 0.5000, 0.5000], [0.5000, 0.0000, 0.5000], [0.5000, 0.5000, 0.0000], [0.0000, 0.0000, 0.5000]]}

How do the energies compare? Relative to the most stable structure, in meV/atom: A) 15; B) 0.